4
Lattice="1.4279 0.8244 8.0781 -1.4279 0.8244 8.0781 0.0000 -1.6487 8.0781" Properties=species:S:1:pos:R:3 comment="BeCdIr2 (PBE-GGA, relaxed)" delta_e_f_mev_per_atom=-31.2 sg="R-3m, No. 166" pbc="T T T"
Be 0.0000 0.0000 0.0000
Cd 0.0000 0.0000 12.1172
Ir 0.0000 0.0000 6.4070
Ir 0.0000 0.0000 17.8273


20
Lattice="3.7127 2.1435 13.2387 -3.7127 2.1435 13.2387 0.0000 -4.2871 13.2387" Properties=species:S:1:pos:R:3 comment="K2AgRuBr6 (PBE-GGA, relaxed)" sg="R-3m, No. 166" formation_energy_uncorrected_ev_per_atom=-0.82 pbc="T T T"
K 0.0000 0.0000 5.0654
K 0.0000 0.0000 12.0861
K 0.0000 0.0000 27.6301
K 0.0000 0.0000 34.6508
Ag 0.0000 0.0000 16.4843
Ag 0.0000 0.0000 23.2319
Ru 0.0000 0.0000 0.0000
Ru 0.0000 0.0000 19.8581
Br -1.8038 -1.0414 18.3938
Br 0.0000 -2.2291 14.7332
Br -1.9304 1.1145 14.7332
Br -1.9305 -1.1145 24.9830
Br 0.0000 -2.0828 21.3224
Br -1.8038 1.0414 21.3224
Br 1.8038 -1.0414 18.3938
Br 0.0000 2.0828 18.3938
Br 1.9304 1.1145 14.7331
Br 1.9305 -1.1145 24.9830
Br 0.0000 2.2291 24.9830
Br 1.8038 1.0414 21.3224


12
Lattice="2.6214 -7.9047 0.0000 2.6214 7.9047 0.0000 -0.0147 0.0000 10.1821" Properties=species:S:1:pos:R:3 comment="La6Sm5Dy (PBE-GGA, relaxed)" delta_e_f_mev_per_atom=16.8 sg="C2/m, No. 12" pbc="T T T"
La -0.0032 0.0000 2.5353
La 5.2312 0.0000 7.6468
La 2.6166 2.6294 2.5381
La 2.6114 2.6294 7.6440
La 2.6166 -2.6294 2.5381
La 2.6114 -2.6294 7.6440
Sm 2.6214 5.2813 0.0000
Sm 2.6140 5.2661 5.0910
Sm 2.6140 0.0000 5.0910
Sm 2.6140 -5.2661 5.0910
Sm 2.6214 -5.2813 0.0000
Dy 2.6214 0.0000 0.0000


Taking the records one at a time from the top gives magnetization values of 0.00 1.01 0.00 μB/f.u..
Taking the records one at a time from the top gives total energy values of -5.62 -3.26 -4.80 eV/atom.